[1]
Entry from Alexandria via LeMat-Bulk: a geometry-optimized BeTlAs2 structure (PBE-GGA).

Cell and atoms, written as extended XYZ:
```
4
Lattice="3.1866 -1.8924 0.0000 3.1866 1.8924 0.0000 -2.2524 0.0000 6.8422" Properties=species:S:1:pos:R:3 pbc="T T T"
Be 0.0000 0.0000 0.0000
Tl 2.0604 0.0000 3.4211
As -0.0219 0.0000 5.7713
As 4.1426 0.0000 1.0709
```

## Properties
density	7.309	Mg/m³
distance to the lowest polymorph of the same formula	175.6	meV per atom
energy	-14.7	eV/cell

[2]
Entry from Alexandria via LeMat-Bulk: a geometry-optimized TcBr2F structure (PBE-GGA).

Cell and atoms, written as extended XYZ:
```
4
Lattice="1.8053 1.0423 7.7804 -1.8053 1.0423 7.7804 0.0000 -2.0845 7.7804" Properties=species:S:1:pos:R:3 pbc="T T T"
Tc 0.0000 0.0000 0.0000
Br 0.0000 0.0000 9.3159
Br 0.0000 0.0000 14.0253
F 0.0000 0.0000 11.6706
```

## Properties
density	5.233	Mg/m³
distance to the lowest polymorph of the same formula	646.7	meV per atom
energy	-16.2	eV/cell